Density functional theory data (GGA-PBEsol) for crystalline ReTc3W at its relaxed geometry.

Geometry as POSCAR:
```
ReTc3W
1.0
4.5403 0.0000 0.0000
0.0000 4.5403 0.0000
0.0000 0.0000 4.5403
Re Tc W
1 3 1
Cartesian
0.0000 0.0000 0.0000
0.0000 0.0000 2.2702
0.0000 2.2702 0.0000
2.2702 0.0000 0.0000
2.2702 2.2702 2.2702
```

As for the energy of formation from the pure elements: 2167 meV/atom. For the mass density, the calculation gives 11.781 g/cm3. The volume is 18.7 Å³/atom. For the electronic total energy, the calculation gives -10.020 eV/atom. The value obtained for the total magnetization is 0.7 μB per formula unit.